DFT (PBE) results for an optimized crystal structure of Li2ZnCu.

```
data_Li2ZnCu
_chemical_formula_sum 'Li2 Zn1 Cu1'
_symmetry_space_group_name_H-M 'P 1'
_symmetry_Int_Tables_number 1
_symmetry_space_group_name_Hall 'P 1'
_cell_length_a 4.631
_cell_length_b 4.631
_cell_length_c 4.796
_cell_angle_alpha 99.03
_cell_angle_beta 99.03
_cell_angle_gamma 33.50
loop_
_atom_site_label
_atom_site_type_symbol
_atom_site_fract_x
_atom_site_fract_y
_atom_site_fract_z
Li1 Li 0.000 0.000 0.000
Li2 Li 0.236 0.236 0.749
Zn1 Zn 0.751 0.751 0.270
Cu1 Cu 0.491 0.491 0.487
```

Properties
Formation energy from the elements ... -0.44 eV per formula unit
Magnetization ... 0.00 μB per formula unit

***

DFT (PBE) results for an optimized crystal structure of LiZnCu.

```
data_LiZnCu
_chemical_formula_sum 'Li2 Zn2 Cu2'
_symmetry_space_group_name_H-M 'P 1'
_symmetry_Int_Tables_number 1
_symmetry_space_group_name_Hall 'P 1'
_cell_length_a 2.580
_cell_length_b 3.928
_cell_length_c 8.076
_cell_angle_alpha 90.00
_cell_angle_beta 92.75
_cell_angle_gamma 90.00
loop_
_atom_site_label
_atom_site_type_symbol
_atom_site_fract_x
_atom_site_fract_y
_atom_site_fract_z
Li1 Li 0.225 0.250 0.088
Li2 Li 0.775 0.750 0.912
Zn1 Zn 0.234 0.250 0.406
Zn2 Zn 0.766 0.750 0.594
Cu1 Cu 0.284 0.250 0.745
Cu2 Cu 0.716 0.750 0.255
```

Properties
Formation energy from the elements ... -0.23 eV per formula unit
E above lowest polymorph ... 0.068 eV per atom
Magnetization ... 0.00 μB per formula unit

***

DFT (PBE) results for an optimized crystal structure of Li6Zn3Cu.

```
data_Li6Zn3Cu
_chemical_formula_sum 'Li12 Zn6 Cu2'
_symmetry_space_group_name_H-M 'P 1'
_symmetry_Int_Tables_number 1
_symmetry_space_group_name_Hall 'P 1'
_cell_length_a 10.308
_cell_length_b 2.660
_cell_length_c 11.268
_cell_angle_alpha 90.00
_cell_angle_beta 99.39
_cell_angle_gamma 90.00
loop_
_atom_site_label
_atom_site_type_symbol
_atom_site_fract_x
_atom_site_fract_y
_atom_site_fract_z
Li1 Li 0.003 0.250 0.187
Li2 Li 0.157 0.750 0.390
Li3 Li 0.242 0.250 0.796
Li4 Li 0.284 0.250 0.213
Li5 Li 0.316 0.250 0.583
Li6 Li 0.379 0.750 0.014
Li7 Li 0.621 0.250 0.986
Li8 Li 0.684 0.750 0.417
Li9 Li 0.716 0.750 0.787
Li10 Li 0.758 0.750 0.204
Li11 Li 0.843 0.250 0.610
Li12 Li 0.997 0.750 0.813
Zn1 Zn 0.075 0.750 0.598
Zn2 Zn 0.128 0.250 0.003
Zn3 Zn 0.431 0.750 0.398
Zn4 Zn 0.569 0.250 0.602
Zn5 Zn 0.872 0.750 0.997
Zn6 Zn 0.925 0.250 0.402
Cu1 Cu 0.470 0.750 0.777
Cu2 Cu 0.530 0.250 0.223
```

Properties
Formation energy from the elements ... -0.74 eV per formula unit
E above lowest polymorph ... 0.012 eV per atom
Magnetization ... 0.00 μB per formula unit

***

DFT (PBE) results for an optimized crystal structure of LiZr3Cu.

```
data_LiZr3Cu
_chemical_formula_sum 'Li1 Zr3 Cu1'
_symmetry_space_group_name_H-M 'P 1'
_symmetry_Int_Tables_number 1
_symmetry_space_group_name_Hall 'P 1'
_cell_length_a 4.978
_cell_length_b 4.978
_cell_length_c 4.978
_cell_angle_alpha 90.00
_cell_angle_beta 90.00
_cell_angle_gamma 90.00
loop_
_atom_site_label
_atom_site_type_symbol
_atom_site_fract_x
_atom_site_fract_y
_atom_site_fract_z
Li1 Li 0.000 0.000 0.000
Zr1 Zr 0.000 0.500 0.500
Zr2 Zr 0.500 0.000 0.500
Zr3 Zr 0.500 0.500 0.000
Cu1 Cu 0.500 0.500 0.500
```

Properties
Formation energy from the elements ... 3.21 eV per formula unit
E above lowest polymorph ... 0.000 eV per atom
Magnetization ... 0.00 μB per formula unit

***

DFT (PBE) results for an optimized crystal structure of Li2ZrCu2.

```
data_Li2ZrCu2
_chemical_formula_sum 'Li2 Zr1 Cu2'
_symmetry_space_group_name_H-M 'P 1'
_symmetry_Int_Tables_number 1
_symmetry_space_group_name_Hall 'P 1'
_cell_length_a 6.804
_cell_length_b 6.804
_cell_length_c 6.804
_cell_angle_alpha 149.87
_cell_angle_beta 149.87
_cell_angle_gamma 43.14
loop_
_atom_site_label
_atom_site_type_symbol
_atom_site_fract_x
_atom_site_fract_y
_atom_site_fract_z
Li1 Li 0.250 0.750 0.500
Li2 Li 0.750 0.250 0.500
Zr1 Zr 0.000 0.000 0.000
Cu1 Cu 0.402 0.402 0.000
Cu2 Cu 0.598 0.598 0.000
```

Properties
Formation energy from the elements ... 0.14 eV per formula unit
E above lowest polymorph ... 0.014 eV per atom
Magnetization ... 0.00 μB per formula unit

***

DFT (PBE) results for an optimized crystal structure of LiZrCu2.

```
data_LiZrCu2
_chemical_formula_sum 'Li1 Zr1 Cu2'
_symmetry_space_group_name_H-M 'P 1'
_symmetry_Int_Tables_number 1
_symmetry_space_group_name_Hall 'P 1'
_cell_length_a 4.241
_cell_length_b 4.241
_cell_length_c 5.770
_cell_angle_alpha 96.96
_cell_angle_beta 96.96
_cell_angle_gamma 37.25
loop_
_atom_site_label
_atom_site_type_symbol
_atom_site_fract_x
_atom_site_fract_y
_atom_site_fract_z
Li1 Li 0.000 0.000 0.000
Zr1 Zr 0.500 0.500 0.500
Cu1 Cu 0.253 0.253 0.805
Cu2 Cu 0.747 0.747 0.195
```

Properties
Formation energy from the elements ... 0.49 eV per formula unit
Magnetization ... 0.00 μB per formula unit

***

DFT (PBE) results for an optimized crystal structure of LiZrCu2.

```
data_LiZrCu2
_chemical_formula_sum 'Li1 Zr1 Cu2'
_symmetry_space_group_name_H-M 'P 1'
_symmetry_Int_Tables_number 1
_symmetry_space_group_name_Hall 'P 1'
_cell_length_a 4.701
_cell_length_b 4.701
_cell_length_c 2.898
_cell_angle_alpha 90.00
_cell_angle_beta 90.00
_cell_angle_gamma 90.47
loop_
_atom_site_label
_atom_site_type_symbol
_atom_site_fract_x
_atom_site_fract_y
_atom_site_fract_z
Li1 Li 0.000 0.000 0.000
Zr1 Zr 0.500 0.500 0.000
Cu1 Cu 0.000 0.500 0.500
Cu2 Cu 0.500 0.000 0.500
```

Properties
Formation energy from the elements ... -0.03 eV per formula unit
Magnetization ... 0.00 μB per formula unit

***

DFT (PBE) results for an optimized crystal structure of LiZrCu3.

```
data_LiZrCu3
_chemical_formula_sum 'Li1 Zr1 Cu3'
_symmetry_space_group_name_H-M 'P 1'
_symmetry_Int_Tables_number 1
_symmetry_space_group_name_Hall 'P 1'
_cell_length_a 4.180
_cell_length_b 4.180
_cell_length_c 4.180
_cell_angle_alpha 90.00
_cell_angle_beta 90.00
_cell_angle_gamma 90.00
loop_
_atom_site_label
_atom_site_type_symbol
_atom_site_fract_x
_atom_site_fract_y
_atom_site_fract_z
Li1 Li 0.000 0.000 0.000
Zr1 Zr 0.500 0.500 0.500
Cu1 Cu 0.000 0.000 0.500
Cu2 Cu 0.000 0.500 0.000
Cu3 Cu 0.500 0.000 0.000
```

Properties
Formation energy from the elements ... 1.57 eV per formula unit
E above lowest polymorph ... 0.000 eV per atom
Magnetization ... 0.00 μB per formula unit

***

DFT (PBE) results for an optimized crystal structure of LiZrCu2.

```
data_LiZrCu2
_chemical_formula_sum 'Li1 Zr1 Cu2'
_symmetry_space_group_name_H-M 'P 1'
_symmetry_Int_Tables_number 1
_symmetry_space_group_name_Hall 'P 1'
_cell_length_a 2.843
_cell_length_b 3.390
_cell_length_c 6.465
_cell_angle_alpha 90.00
_cell_angle_beta 90.00
_cell_angle_gamma 90.00
loop_
_atom_site_label
_atom_site_type_symbol
_atom_site_fract_x
_atom_site_fract_y
_atom_site_fract_z
Li1 Li 0.000 0.000 0.000
Zr1 Zr 0.500 0.500 0.341
Cu1 Cu 0.000 0.000 0.605
Cu2 Cu 0.500 0.500 0.798
```

Properties
Formation energy from the elements ... 0.17 eV per formula unit
Magnetization ... 0.00 μB per formula unit

***

DFT (PBE) results for an optimized crystal structure of LiZrCu.

```
data_LiZrCu
_chemical_formula_sum 'Li1 Zr1 Cu1'
_symmetry_space_group_name_H-M 'P 1'
_symmetry_Int_Tables_number 1
_symmetry_space_group_name_Hall 'P 1'
_cell_length_a 5.815
_cell_length_b 5.815
_cell_length_c 5.815
_cell_angle_alpha 149.39
_cell_angle_beta 149.39
_cell_angle_gamma 43.84
loop_
_atom_site_label
_atom_site_type_symbol
_atom_site_fract_x
_atom_site_fract_y
_atom_site_fract_z
Li1 Li 0.000 0.000 0.000
Zr1 Zr 0.289 0.289 0.000
Cu1 Cu 0.625 0.625 0.000
```

Properties
Formation energy from the elements ... 0.32 eV per formula unit
E above lowest polymorph ... 0.046 eV per atom
Magnetization ... 0.00 μB per formula unit

***

DFT (PBE) results for an optimized crystal structure of LiZrCu.

```
data_LiZrCu
_chemical_formula_sum 'Li1 Zr1 Cu1'
_symmetry_space_group_name_H-M 'P 1'
_symmetry_Int_Tables_number 1
_symmetry_space_group_name_Hall 'P 1'
_cell_length_a 4.323
_cell_length_b 4.323
_cell_length_c 4.323
_cell_angle_alpha 60.00
_cell_angle_beta 60.00
_cell_angle_gamma 60.00
loop_
_atom_site_label
_atom_site_type_symbol
_atom_site_fract_x
_atom_site_fract_y
_atom_site_fract_z
Li1 Li 0.000 0.000 0.000
Zr1 Zr 0.500 0.500 0.500
Cu1 Cu 0.750 0.750 0.750
```

Properties
Formation energy from the elements ... 1.01 eV per formula unit
E above lowest polymorph ... 0.275 eV per atom
Magnetization ... 0.84 μB per formula unit

***

DFT (PBE) results for an optimized crystal structure of LiZrCu.

```
data_LiZrCu
_chemical_formula_sum 'Li1 Zr1 Cu1'
_symmetry_space_group_name_H-M 'P 1'
_symmetry_Int_Tables_number 1
_symmetry_space_group_name_Hall 'P 1'
_cell_length_a 5.144
_cell_length_b 5.144
_cell_length_c 5.144
_cell_angle_alpha 146.58
_cell_angle_beta 138.73
_cell_angle_gamma 54.11
loop_
_atom_site_label
_atom_site_type_symbol
_atom_site_fract_x
_atom_site_fract_y
_atom_site_fract_z
Li1 Li 0.000 0.000 0.000
Zr1 Zr 0.696 0.696 0.000
Cu1 Cu 0.371 0.371 0.000
```

Properties
Formation energy from the elements ... 0.31 eV per formula unit
E above lowest polymorph ... 0.042 eV per atom
Magnetization ... 0.00 μB per formula unit

***

Number 1: E -9.6 eV/cell. Number 2: E -15.0 eV/cell. Number 3: E -40.3 eV/cell. Number 4: E -28.4 eV/cell. Number 5: E -20.4 eV/cell. Number 6: E -18.2 eV/cell. Number 7: E -18.7 eV/cell. Number 8: E -21.2 eV/cell. Number 9: E -18.5 eV/cell. Number 10: E -14.2 eV/cell. Number 11: E -13.5 eV/cell. Number 12: E -14.2 eV/cell.